Entry from Alexandria: crystalline LiSbTe2 at its relaxed geometry (PBE).

Lattice parameters (Å, degrees): 7.484 7.484 7.484 33.70 33.70 33.70
Fractional coordinates of all 4 atoms:
Li1 0.000 0.000 0.000
Sb1 0.500 0.500 0.500
Te1 0.253 0.253 0.253
Te2 0.747 0.747 0.747

E_form (uncorrected) (eV per atom): -0.44
Space-group type: R-3m (166)

Entry from Alexandria: crystalline SrIrPbBr2 at its relaxed geometry (PBE).

Lattice parameters (Å, degrees): 5.807 5.807 5.241 90.00 90.00 90.00
Fractional coordinates of all 5 atoms:
Sr1 0.000 0.000 0.000
Ir1 0.500 0.500 0.000
Pb1 0.500 0.500 0.500
Br1 0.000 0.500 0.500
Br2 0.500 0.000 0.500

E_form (uncorrected) (eV per atom): -0.10
Space-group type: P4/mmm (123)

Entry from Alexandria: crystalline Li3TlI at its relaxed geometry (PBE).

Lattice parameters (Å, degrees): 5.251 5.251 5.251 90.00 90.00 90.00
Fractional coordinates of all 5 atoms:
Li1 0.000 0.000 0.500
Li2 0.000 0.500 0.000
Li3 0.500 0.000 0.000
Tl1 0.500 0.500 0.500
I1 0.000 0.000 0.000

E_form (uncorrected) (eV per atom): -0.22
Space-group type: Pm-3m (221)

Entry from Alexandria: crystalline InTcHg2 at its relaxed geometry (PBE).

Lattice parameters (Å, degrees): 3.265 4.075 6.124 90.00 90.00 90.00
Fractional coordinates of all 4 atoms:
In1 0.000 0.000 0.000
Tc1 0.500 0.500 0.206
Hg1 0.000 0.000 0.462
Hg2 0.500 0.500 0.715

Formation energy (eV per formula unit): 1.90
Space-group type: Pmm2 (25)

Entry from Alexandria: crystalline LaSi2Pt at its relaxed geometry (PBE).

Lattice parameters (Å, degrees): 4.512 4.161 4.720 90.00 96.13 90.00
Fractional coordinates of all 4 atoms:
La1 0.000 0.000 0.000
Si1 0.419 0.500 0.751
Si2 0.581 0.500 0.249
Pt1 0.500 0.000 0.500

E_form (uncorrected) (eV per atom): -0.84
Space-group type: P2/m (10)

Entry from Alexandria: crystalline K2GaCl5 at its relaxed geometry (PBE).

Lattice parameters (Å, degrees): 12.056 12.712 9.150 90.00 90.00 90.00
Fractional coordinates of all 32 atoms:
K1 0.000 0.000 0.225
K2 0.000 0.000 0.775
K3 0.142 0.343 0.000
K4 0.358 0.843 0.500
K5 0.500 0.500 0.275
K6 0.500 0.500 0.725
K7 0.642 0.157 0.500
K8 0.858 0.657 0.000
Ga1 0.242 0.729 0.000
Ga2 0.258 0.229 0.500
Ga3 0.742 0.771 0.500
Ga4 0.758 0.271 0.000
Cl1 0.092 0.155 0.500
Cl2 0.118 0.599 0.000
Cl3 0.122 0.118 0.000
Cl4 0.218 0.827 0.196
Cl5 0.218 0.827 0.804
Cl6 0.282 0.327 0.304
Cl7 0.282 0.327 0.696
Cl8 0.378 0.618 0.500
Cl9 0.382 0.099 0.500
Cl10 0.408 0.655 0.000
Cl11 0.592 0.345 0.000
Cl12 0.618 0.901 0.500
Cl13 0.622 0.382 0.500
Cl14 0.718 0.673 0.304
Cl15 0.718 0.673 0.696
Cl16 0.782 0.173 0.196
Cl17 0.782 0.173 0.804
Cl18 0.878 0.882 0.000
Cl19 0.882 0.401 0.000
Cl20 0.908 0.845 0.500

E_form (uncorrected) (eV per atom): -1.54
Space-group type: Pnnm (58)